# 1
Below is BAsSe2Br after structural relaxation, with properties calculated at the GGA-PBE level.

a b c (Å): 5.1832 5.1832 5.1903
angles (deg): 90.00 90.00 90.00
Site moments in Bohr magnetons follow the coordinates.
Atoms (fractional coordinates):
As (0.0000, 0.0000, 0.5000)  0.36
Se (0.0000, 0.5000, 0.0000)  0.11
Se (0.5000, 0.0000, 0.0000)  0.11
B (0.5000, 0.5000, 0.5000)  -0.01
Br (0.0000, 0.0000, 0.0000)  0.04

Calculated values
SG: P4/mmm, No. 123
Energy above the most stable polymorph in this dataset: 1104.6 meV per atom
V: 27.888 A^3/atom

# 2
Below is BAs2SeBr after structural relaxation, with properties calculated at the GGA-PBE level.

a b c (Å): 4.6551 4.6551 4.3555
angles (deg): 90.00 90.00 90.00
Atoms (fractional coordinates):
As (0.0000, 0.5000, 0.0000)
As (0.5000, 0.0000, 0.0000)
Se (0.5000, 0.5000, 0.5000)
B (0.0000, 0.0000, 0.0000)
Br (0.0000, 0.0000, 0.5000)

Calculated values
SG: P4/mmm, No. 123
Energy above the most stable polymorph in this dataset: 33.2 meV per atom
V: 18.876 A^3/atom

# 3
Below is BAs2SeBr after structural relaxation, with properties calculated at the GGA-PBE level.

a b c (Å): 5.1309 5.1309 5.2682
angles (deg): 90.00 90.00 90.00
Site moments in Bohr magnetons follow the coordinates.
Atoms (fractional coordinates):
B (0.5000, 0.5000, 0.5000)  -0.01
As (0.5000, 0.0000, 0.0000)  0.17
As (0.0000, 0.5000, 0.0000)  0.17
Br (0.0000, 0.0000, 0.0000)  0.03
Se (0.0000, 0.0000, 0.5000)  0.11

Calculated values
SG: P4/mmm, No. 123
Energy above the most stable polymorph in this dataset: 1169.2 meV per atom
V: 27.738 A^3/atom

# 4
Below is BAsSe2Br after structural relaxation, with properties calculated at the GGA-PBE level.

a b c (Å): 4.3843 4.3843 5.0679
angles (deg): 90.00 90.00 90.00
Atoms (fractional coordinates):
Se (0.5000, 0.0000, 0.0000)
Se (0.0000, 0.5000, 0.0000)
Br (0.5000, 0.5000, 0.5000)
B (0.0000, 0.0000, 0.0000)
As (0.0000, 0.0000, 0.5000)

Calculated values
SG: P4/mmm, No. 123
Energy above the most stable polymorph in this dataset: 3.4 meV per atom
V: 19.483 A^3/atom

# 5
Below is BAs2SeBr after structural relaxation, with properties calculated at the GGA-PBE level.

a b c (Å): 4.6514 4.6514 4.4026
angles (deg): 90.00 90.00 90.00
Atoms (fractional coordinates):
As (0.0000, 0.5000, 0.0000)
As (0.5000, 0.0000, 0.0000)
Se (0.0000, 0.0000, 0.5000)
B (0.0000, 0.0000, 0.0000)
Br (0.5000, 0.5000, 0.5000)

Calculated values
SG: P4/mmm, No. 123
Energy above the most stable polymorph in this dataset: 0.0 meV per atom
V: 19.050 A^3/atom

# 6
Below is BAs2SeBr after structural relaxation, with properties calculated at the GGA-PBE level.

a b c (Å): 5.0794 5.0794 5.4272
angles (deg): 90.00 90.00 90.00
Site moments in Bohr magnetons follow the coordinates.
Atoms (fractional coordinates):
As (0.5000, 0.0000, 0.0000)  0.24
As (0.0000, 0.5000, 0.0000)  0.24
Br (0.0000, 0.0000, 0.5000)  0.11
B (0.5000, 0.5000, 0.5000)  -0.02
Se (0.0000, 0.0000, 0.0000)  -0.01

Calculated values
SG: P4/mmm, No. 123
Energy above the most stable polymorph in this dataset: 795.9 meV per atom
V: 28.005 A^3/atom

# 7
Below is SiBAs2Br after structural relaxation, with properties calculated at the GGA-PBE level.

a b c (Å): 4.4857 4.4857 4.5181
angles (deg): 90.00 90.00 90.00
Atoms (fractional coordinates):
As (0.5000, 0.0000, 0.0000)
As (0.0000, 0.5000, 0.0000)
Br (0.0000, 0.0000, 0.5000)
B (0.0000, 0.0000, 0.0000)
Si (0.5000, 0.5000, 0.5000)

Calculated values
SG: P4/mmm, No. 123
Energy above the most stable polymorph in this dataset: 0.0 meV per atom
V: 18.182 A^3/atom

# 8
Below is SiBAs2Br after structural relaxation, with properties calculated at the GGA-PBE level.

a b c (Å): 5.1346 4.9775 5.1346
angles (deg): 90.00 90.00 90.00
Atoms (fractional coordinates):
B (0.5000, 0.5000, 0.5000)
As (0.0000, 0.0000, 0.5000)
As (0.5000, 0.0000, 0.0000)
Br (0.0000, 0.0000, 0.0000)
Si (0.0000, 0.5000, 0.0000)

Calculated values
SG: P4/mmm, No. 123
Energy above the most stable polymorph in this dataset: 1103.7 meV per atom
V: 26.245 A^3/atom

# 9
Below is SiBAs2Br after structural relaxation, with properties calculated at the GGA-PBE level.

a b c (Å): 4.7800 4.7800 5.1776
angles (deg): 90.00 90.00 90.00
Site moments in Bohr magnetons follow the coordinates.
Atoms (fractional coordinates):
As (0.0000, 0.5000, 0.0000)  0.09
As (0.5000, 0.0000, 0.0000)  0.09
B (0.5000, 0.5000, 0.5000)  -0.01
Si (0.0000, 0.0000, 0.0000)  0.00
Br (0.0000, 0.0000, 0.5000)  0.05

Calculated values
SG: P4/mmm, No. 123
Energy above the most stable polymorph in this dataset: 406.1 meV per atom
V: 23.660 A^3/atom

# 10
Below is SnBAs2Br after structural relaxation, with properties calculated at the GGA-PBE level.

a b c (Å): 4.3249 4.3249 6.0498
angles (deg): 90.00 90.00 90.00
Atoms (fractional coordinates):
Sn (0.5000, 0.5000, 0.5000)
As (0.5000, 0.0000, 0.0000)
As (0.0000, 0.5000, 0.0000)
B (0.0000, 0.0000, 0.0000)
Br (0.0000, 0.0000, 0.5000)

Calculated values
SG: P4/mmm, No. 123
Energy above the most stable polymorph in this dataset: 0.0 meV per atom
V: 22.632 A^3/atom

# 11
Below is SnBAsBr2 after structural relaxation, with properties calculated at the GGA-PBE level.

a b c (Å): 5.5986 5.5986 5.4476
angles (deg): 90.00 90.00 90.00
Site moments in Bohr magnetons follow the coordinates.
Atoms (fractional coordinates):
Br (0.0000, 0.5000, 0.0000)  0.05
Br (0.5000, 0.0000, 0.0000)  0.05
As (0.0000, 0.0000, 0.5000)  0.53
B (0.5000, 0.5000, 0.5000)  -0.12
Sn (0.0000, 0.0000, 0.0000)  0.00

Calculated values
SG: P4/mmm, No. 123
Energy above the most stable polymorph in this dataset: 550.6 meV per atom
V: 34.150 A^3/atom

# 12
Below is SnBAsBr2 after structural relaxation, with properties calculated at the GGA-PBE level.

a b c (Å): 4.6946 4.6946 4.8329
angles (deg): 90.00 90.00 90.00
Atoms (fractional coordinates):
Sn (0.5000, 0.5000, 0.5000)
B (0.0000, 0.0000, 0.0000)
Br (0.0000, 0.5000, 0.0000)
Br (0.5000, 0.0000, 0.0000)
As (0.0000, 0.0000, 0.5000)

Calculated values
SG: P4/mmm, No. 123
Energy above the most stable polymorph in this dataset: 0.0 meV per atom
V: 21.303 A^3/atom

# 13
Below is SnBAs2Br after structural relaxation, with properties calculated at the GGA-PBE level.

a b c (Å): 5.2780 5.2780 5.6094
angles (deg): 90.00 90.00 90.00
Site moments in Bohr magnetons follow the coordinates.
Atoms (fractional coordinates):
Br (0.0000, 0.0000, 0.5000)  0.11
B (0.5000, 0.5000, 0.5000)  -0.04
As (0.0000, 0.5000, 0.0000)  0.32
As (0.5000, 0.0000, 0.0000)  0.32
Sn (0.0000, 0.0000, 0.0000)  0.01

Calculated values
SG: P4/mmm, No. 123
Energy above the most stable polymorph in this dataset: 875.7 meV per atom
V: 31.253 A^3/atom

# 14
Below is SrBAsBr2 after structural relaxation, with properties calculated at the GGA-PBE level.

a b c (Å): 5.3368 5.3368 4.2531
angles (deg): 90.00 90.00 90.00
Atoms (fractional coordinates):
Sr (0.5000, 0.5000, 0.5000)
Br (0.0000, 0.5000, 0.0000)
Br (0.5000, 0.0000, 0.0000)
B (0.0000, 0.0000, 0.0000)
As (0.0000, 0.0000, 0.5000)

Calculated values
SG: P4/mmm, No. 123
Energy above the most stable polymorph in this dataset: 0.0 meV per atom
V: 24.227 A^3/atom

Record-wise electronic total energy values, in eV per atom: -2.125 -3.397 -2.261 -3.226 -3.430 -2.634 -3.629 -2.525 -3.223 -3.716 -2.646 -3.196 -2.840 -3.440
Record-wise uncorrected formation energy values, in eV/atom: 1.87 0.83 1.97 0.77 0.80 1.59 0.99 2.09 1.39 0.61 1.09 0.54 1.49 -0.17